Below is a geometry-optimized TlW2Cl structure, with properties calculated at the GGA-PBEsol level.

Summary:
Formation energy from raw total energies   1430 meV per atom
Electronic total energy   -6.63 eV/atom
Calculated density   15.072 g cm⁻³

Cell lengths 4.557, 4.557, 4.557 Å; angles 60.00, 60.00, 60.00 degrees
Each line ends with the local moment (μB).
Element x y z (fractional)
Cl 0.000 0.000 0.000  0.00
W 0.750 0.750 0.750  0.11
W 0.250 0.250 0.250  0.11
Tl 0.500 0.500 0.500  0.00